# 1
# V3H | Alexandria | PBE-GGA | optimized geometry
# Total magnetic moment ... 0.00 μB per atom
# VASP energy ... -61.98 eV/cell
# E above lowest polymorph ... 0 meV per atom
data_V3H
_space_group_name_H-M_alt 'P 1'
_space_group_IT_number 1
_cell_length_a 2.9537
_cell_length_b 2.9537
_cell_length_c 9.7853
_cell_angle_alpha 90.00
_cell_angle_beta 90.00
_cell_angle_gamma 90.00
loop_
_space_group_symop_operation_xyz
'x,y,z'
loop_
_atom_site_label
_atom_site_type_symbol
_atom_site_fract_x
_atom_site_fract_y
_atom_site_fract_z
V1 V 0.0000 0.0000 0.0000
V2 V 0.0000 0.0000 0.3229
V3 V 0.0000 0.0000 0.6771
V4 V 0.5000 0.5000 0.1771
V5 V 0.5000 0.5000 0.5000
V6 V 0.5000 0.5000 0.8229
H1 H 0.0000 0.0000 0.5000
H2 H 0.5000 0.5000 0.0000



# 2
# ZrBeZn2 | Alexandria | PBE-GGA | optimized geometry
# Total magnetic moment ... 0.00 μB per atom
# Energy relative to the elements ... -0.1162 eV per atom
# VASP energy ... -15.29 eV/cell
data_ZrBeZn2
_space_group_name_H-M_alt 'P 1'
_space_group_IT_number 1
_cell_length_a 3.8413
_cell_length_b 3.8413
_cell_length_c 4.2064
_cell_angle_alpha 90.00
_cell_angle_beta 90.00
_cell_angle_gamma 90.00
loop_
_space_group_symop_operation_xyz
'x,y,z'
loop_
_atom_site_label
_atom_site_type_symbol
_atom_site_fract_x
_atom_site_fract_y
_atom_site_fract_z
Zr1 Zr 0.0000 0.0000 0.0000
Be1 Be 0.5000 0.5000 0.0000
Zn1 Zn 0.0000 0.5000 0.5000
Zn2 Zn 0.5000 0.0000 0.5000



# 3
# Ac2La3DySb6 | Alexandria | PBE-GGA | optimized geometry
# Total magnetic moment ... 0.00 μB per atom
# Energy relative to the elements, uncorrected ... -1.212 eV/atom
# VASP energy ... -66.88 eV/cell
data_Ac2La3DySb6
_space_group_name_H-M_alt 'P 1'
_space_group_IT_number 1
_cell_length_a 8.0557
_cell_length_b 8.0557
_cell_length_c 8.0544
_cell_angle_alpha 99.63
_cell_angle_beta 99.63
_cell_angle_gamma 120.00
loop_
_space_group_symop_operation_xyz
'x,y,z'
loop_
_atom_site_label
_atom_site_type_symbol
_atom_site_fract_x
_atom_site_fract_y
_atom_site_fract_z
Ac1 Ac 0.1655 0.8345 0.0000
Ac2 Ac 0.8345 0.1655 0.0000
La1 La 0.0000 0.0000 0.5000
La2 La 0.3300 0.6700 0.5000
La3 La 0.6700 0.3300 0.5000
Dy1 Dy 0.5000 0.5000 0.0000
Sb1 Sb 0.0960 0.4167 0.7488
Sb2 Sb 0.2651 0.2651 0.2543
Sb3 Sb 0.4167 0.0960 0.7488
Sb4 Sb 0.5833 0.9040 0.2512
Sb5 Sb 0.7349 0.7349 0.7457
Sb6 Sb 0.9040 0.5833 0.2512



# 4
# CoGeAsPt | Alexandria | PBE-GGA | optimized geometry
# Total magnetic moment ... 0.00 μB per atom
# Energy relative to the elements ... -0.1733 eV per atom
# VASP energy ... -46.21 eV/cell
# E above lowest polymorph ... 142 meV per atom
data_CoGeAsPt
_space_group_name_H-M_alt 'P 1'
_space_group_IT_number 1
_cell_length_a 6.6851
_cell_length_b 3.9308
_cell_length_c 5.4714
_cell_angle_alpha 90.00
_cell_angle_beta 113.65
_cell_angle_gamma 90.00
loop_
_space_group_symop_operation_xyz
'x,y,z'
loop_
_atom_site_label
_atom_site_type_symbol
_atom_site_fract_x
_atom_site_fract_y
_atom_site_fract_z
Co1 Co 0.0000 0.0000 0.0000
Co2 Co 0.5000 0.5000 0.0000
Ge1 Ge 0.3490 0.5000 0.5256
Ge2 Ge 0.8490 0.0000 0.5256
As1 As 0.1327 0.5000 0.9055
As2 As 0.6327 0.0000 0.9055
Pt1 Pt 0.4417 0.0000 0.3101
Pt2 Pt 0.9417 0.5000 0.3101



# 5
# TcPdBr | Alexandria | PBE-GGA | optimized geometry
# Total magnetic moment ... 0.00 μB per atom
# Energy relative to the elements, uncorrected ... 0.050 eV/atom
# VASP energy ... -34.16 eV/cell
# E above lowest polymorph ... 0 meV per atom
data_TcPdBr
_space_group_name_H-M_alt 'P 1'
_space_group_IT_number 1
_cell_length_a 3.5312
_cell_length_b 3.5317
_cell_length_c 9.9202
_cell_angle_alpha 89.17
_cell_angle_beta 88.87
_cell_angle_gamma 85.30
loop_
_space_group_symop_operation_xyz
'x,y,z'
loop_
_atom_site_label
_atom_site_type_symbol
_atom_site_fract_x
_atom_site_fract_y
_atom_site_fract_z
Tc1 Tc 0.1897 0.1884 0.4380
Tc2 Tc 0.8103 0.8116 0.5620
Pd1 Pd 0.2656 0.2690 0.6965
Pd2 Pd 0.7344 0.7310 0.3035
Br1 Br 0.2658 0.2604 0.1711
Br2 Br 0.7342 0.7396 0.8289



# 6
# CeYF5 | Alexandria | PBE-GGA | optimized geometry
# Total magnetic moment ... 0.16 μB per atom
# Energy relative to the elements, uncorrected ... -3.751 eV/atom
# VASP energy ... -96.03 eV/cell
data_CeYF5
_space_group_name_H-M_alt 'P 1'
_space_group_IT_number 1
_cell_length_a 6.1162
_cell_length_b 6.1162
_cell_length_c 8.3417
_cell_angle_alpha 109.26
_cell_angle_beta 109.26
_cell_angle_gamma 72.11
loop_
_space_group_symop_operation_xyz
'x,y,z'
loop_
_atom_site_label
_atom_site_type_symbol
_atom_site_fract_x
_atom_site_fract_y
_atom_site_fract_z
Ce1 Ce 0.0097 0.9903 0.7500
Ce2 Ce 0.9903 0.0097 0.2500
Y1 Y 0.5000 0.5000 0.0000
Y2 Y 0.5000 0.5000 0.5000
F1 F 0.1743 0.8124 0.4845
F2 F 0.1876 0.8257 0.0155
F3 F 0.2558 0.2591 0.8790
F4 F 0.2591 0.2558 0.3790
F5 F 0.3543 0.6457 0.7500
F6 F 0.6457 0.3543 0.2500
F7 F 0.7409 0.7442 0.6210
F8 F 0.7442 0.7409 0.1210
F9 F 0.8124 0.1743 0.9845
F10 F 0.8257 0.1876 0.5155